Entry 1:
Here is a relaxed structure of TmUTl2Se4 from Alexandria via LeMat-Bulk. Energies are from PBE.

POSCAR file:
```
TmUTl2Se4
1.0
7.2120 0.0000 0.0000
0.0000 4.1563 0.0000
-2.3878 0.0000 7.8358
Tm U Tl Se
1 1 2 4
direct
0.0000 0.0000 0.0000
0.5000 0.5000 0.0000
0.0000 0.5000 0.5000
0.5000 0.0000 0.5000
0.2288 0.5000 0.2019
0.2608 0.0000 0.7953
0.7392 0.0000 0.2047
0.7712 0.5000 0.7981
```

Output
volume	234.9	Å³/cell
M_tot	3.00	μB/cell
symmetry	P2/m
formation energy without anion corrections	-25.51	kcal/mol of atoms

=====

Entry 2:
Here is a relaxed structure of Na2TlCdHg from Alexandria via LeMat-Bulk. Energies are from PBE.

POSCAR file:
```
Na2TlCdHg
1.0
5.7992 0.0000 0.0000
0.0000 5.7992 0.0000
0.0000 0.0000 5.3280
Na Tl Cd Hg
2 1 1 1
direct
0.0000 0.5000 0.0000
0.5000 0.0000 0.0000
0.0000 0.0000 0.5000
0.5000 0.5000 0.0000
0.5000 0.5000 0.5000
```

Output
polymorph energy (0 for the lowest one)	0.220	eV per atom
volume	179.2	Å³/cell
calculated formation energy	0.123	eV per atom
M_tot	0.00	μB/cell
symmetry	P4/mmm

=====

Entry 3:
Here is a relaxed structure of LiTm2TlCl8 from Alexandria via LeMat-Bulk. Energies are from PBE.

POSCAR file:
```
LiTm2TlCl8
1.0
6.5933 0.0000 0.0000
0.0000 8.1507 0.0000
-0.8662 0.0000 6.7743
Li Tm Tl Cl
1 2 1 8
direct
0.0000 0.0000 0.0000
0.5000 0.2413 0.5000
0.5000 0.7587 0.5000
0.0000 0.5000 0.0000
0.2399 0.2123 0.1880
0.2399 0.7877 0.1880
0.2963 0.0000 0.6492
0.3067 0.5000 0.6365
0.6933 0.5000 0.3635
0.7037 0.0000 0.3508
0.7601 0.2123 0.8120
0.7601 0.7877 0.8120
```

Output
volume	364.1	Å³/cell
M_tot	0.00	μB/cell
symmetry	P2/m
formation energy without anion corrections	-45.01	kcal/mol of atoms

=====

Entry 4:
Here is a relaxed structure of Sm2Y7Tm4 from Alexandria via LeMat-Bulk. Energies are from PBE.

POSCAR file:
```
Sm2Y7Tm4
1.0
6.5380 0.0000 0.0000
2.9267 8.3206 0.0000
1.6157 4.0495 7.6763
Sm Y Tm
2 7 4
direct
0.1462 0.1083 0.3272
0.8538 0.8917 0.6728
0.0000 0.0000 0.0000
0.1112 0.5598 0.1140
0.2091 0.6171 0.4588
0.4049 0.7263 0.7169
0.5951 0.2737 0.2831
0.7909 0.3829 0.5412
0.8888 0.4402 0.8860
0.3361 0.1457 0.6668
0.4466 0.2550 0.9418
0.5534 0.7450 0.0582
0.6639 0.8543 0.3332
```

Output
volume	417.6	Å³/cell
calculated formation energy	0.089	eV per atom
M_tot	0.00	μB/cell
symmetry	P-1

=====

Entry 5:
Here is a relaxed structure of K3Pd5F12 from Alexandria via LeMat-Bulk. Energies are from PBE.

POSCAR file:
```
K3Pd5F12
1.0
-7.1014 7.1014 7.1014
7.1014 -7.1014 7.1014
7.1014 7.1014 -7.1014
K Pd F
12 20 48
direct
0.1250 0.2500 0.3750
0.1250 0.3750 0.7500
0.2500 0.3750 0.1250
0.2500 0.8750 0.6250
0.3750 0.1250 0.2500
0.3750 0.7500 0.1250
0.6250 0.2500 0.8750
0.6250 0.8750 0.7500
0.7500 0.1250 0.3750
0.7500 0.6250 0.8750
0.8750 0.6250 0.2500
0.8750 0.7500 0.6250
0.0000 0.0000 0.0000
0.0000 0.0000 0.5000
0.0000 0.5000 0.0000
0.0000 0.5000 0.5000
0.1250 0.7500 0.8750
0.1250 0.8750 0.2500
0.2500 0.1250 0.8750
0.2500 0.6250 0.3750
0.3750 0.2500 0.6250
0.3750 0.6250 0.7500
0.5000 0.0000 0.0000
0.5000 0.0000 0.5000
0.5000 0.5000 0.0000
0.5000 0.5000 0.5000
0.6250 0.3750 0.2500
0.6250 0.7500 0.3750
0.7500 0.3750 0.6250
0.7500 0.8750 0.1250
0.8750 0.1250 0.7500
0.8750 0.2500 0.1250
0.0187 0.1843 0.1156
0.0187 0.3344 0.9031
0.0686 0.6843 0.6656
0.0686 0.8844 0.4031
0.0969 0.6156 0.4314
0.0969 0.9813 0.6656
0.1156 0.0187 0.1843
0.1156 0.5969 0.9314
0.1656 0.1843 0.5686
0.1656 0.4813 0.5969
0.1843 0.1156 0.0187
0.1843 0.5686 0.1656
0.3157 0.3344 0.9314
0.3157 0.4813 0.3844
0.3344 0.9031 0.0187
0.3344 0.9314 0.3157
0.3844 0.3157 0.4813
0.3844 0.5686 0.9031
0.4031 0.0686 0.8844
0.4031 0.8344 0.5187
0.4314 0.0969 0.6156
0.4314 0.8344 0.8157
0.4813 0.3844 0.3157
0.4813 0.5969 0.1656
0.5187 0.4031 0.8344
0.5187 0.6156 0.6843
0.5686 0.1656 0.1843
0.5686 0.9031 0.3844
0.5969 0.1656 0.4813
0.5969 0.9314 0.1156
0.6156 0.4314 0.0969
0.6156 0.6843 0.5187
0.6656 0.0686 0.6843
0.6656 0.0969 0.9813
0.6843 0.5187 0.6156
0.6843 0.6656 0.0686
0.8157 0.4314 0.8344
0.8157 0.8844 0.9813
0.8344 0.5187 0.4031
0.8344 0.8157 0.4314
0.8844 0.4031 0.0686
0.8844 0.9813 0.8157
0.9031 0.0187 0.3344
0.9031 0.3844 0.5686
0.9314 0.1156 0.5969
0.9314 0.3157 0.3344
0.9813 0.6656 0.0969
0.9813 0.8157 0.8844
```

Output
volume	1432.5	Å³/cell
M_tot	3.99	μB/cell
symmetry	Ia-3d
formation energy without anion corrections	-34.51	kcal/mol of atoms

=====

Entry 6:
Here is a relaxed structure of Zr2CuNi3 from Alexandria via LeMat-Bulk. Energies are from PBE.

POSCAR file:
```
Zr2CuNi3
1.0
6.5957 0.0000 0.0000
0.0000 3.5484 0.0000
0.0000 0.0000 15.3010
Zr Cu Ni
8 4 12
direct
0.0622 0.2500 0.2135
0.1590 0.2500 0.4341
0.3410 0.7500 0.9341
0.4378 0.7500 0.7135
0.5622 0.2500 0.2865
0.6590 0.2500 0.0659
0.8410 0.7500 0.5659
0.9378 0.7500 0.7865
0.0069 0.7500 0.0631
0.4931 0.2500 0.5631
0.5069 0.7500 0.4369
0.9931 0.2500 0.9369
0.1165 0.2500 0.6553
0.2384 0.2500 0.8114
0.2384 0.7500 0.5574
0.2616 0.2500 0.0574
0.2616 0.7500 0.3114
0.3835 0.7500 0.1553
0.6165 0.2500 0.8447
0.7384 0.2500 0.6886
0.7384 0.7500 0.9426
0.7616 0.2500 0.4426
0.7616 0.7500 0.1886
0.8835 0.7500 0.3447
```

Output
volume	358.1	Å³/cell
calculated formation energy	-0.346	eV per atom
M_tot	0.00	μB/cell
symmetry	Pnma

=====

Look up the volume of the sixth one.
358.1 Å³/cell